No. 1
The following is a DFT calculation (PBE) of an optimized crystal structure of CoNiHg.

Cell: 2.8204 2.8204 6.4255 Å, 90.00 90.00 120.00°
Each line ends with the local moment (μB).
Sites, in units of the cell vectors:
Co1 0.0000 0.0000 0.9719  1.71
Ni1 0.3333 0.6667 0.6928  0.55
Hg1 0.6667 0.3333 0.3354  -0.05

Summary:
Offset from the most stable computed form = 0.122 eV/atom
Total moment = 2.1 μB per cell
DOS(E_F) = 1.277 states/eV per atom

No. 2
The following is a DFT calculation (PBE) of an optimized crystal structure of V2BiMo.

Cell: 3.9804 3.9804 9.7649 Å, 78.24 78.24 90.00°
Sites, in units of the cell vectors:
Bi1 0.0000 0.0000 0.0000
Bi2 0.7500 0.2500 0.5000
V1 0.1250 0.6250 0.2500
V2 0.8750 0.8750 0.7500
V3 0.6250 0.1250 0.2500
V4 0.3750 0.3750 0.7500
Mo1 0.2500 0.7500 0.5000
Mo2 0.5000 0.5000 0.0000

Summary:
Total moment = 0.0 μB per cell
DOS(E_F) = 1.259 states/eV per atom
Uncorrected energy = -7.288 eV per atom

No. 3
The following is a DFT calculation (PBE) of an optimized crystal structure of ZnPt2Rh.

Cell: 4.7419 4.7419 4.7419 Å, 130.95 130.95 71.90°
Sites, in units of the cell vectors:
Zn1 0.7500 0.2500 0.5000
Rh1 0.5000 0.5000 0.0000
Pt1 0.2500 0.7500 0.5000
Pt2 0.0000 0.0000 0.0000

Summary:
Total moment = 0.0 μB per cell
DOS(E_F) = 1.407 states/eV per atom
Uncorrected energy = -5.423 eV per atom

No. 4
The following is a DFT calculation (PBE) of an optimized crystal structure of ErTm2Pu.

Cell: 5.5129 5.5129 5.5129 Å, 60.00 60.00 60.00°
Each line ends with the local moment (μB).
Sites, in units of the cell vectors:
Tm1 0.2500 0.2500 0.2500  0.24
Tm2 0.7500 0.7500 0.7500  0.24
Pu1 0.0000 0.0000 0.0000  5.53
Er1 0.5000 0.5000 0.5000  0.17

Summary:
Offset from the most stable computed form = 0.092 eV/atom
Total moment = 6.6 μB per cell
DOS(E_F) = 2.404 states/eV per atom

No. 5
The following is a DFT calculation (PBE) of an optimized crystal structure of FeI2Cl2.

Cell: 3.2220 7.6191 7.6191 Å, 103.88 92.81 92.81°
Each line ends with the local moment (μB).
Sites, in units of the cell vectors:
Fe1 0.0000 0.0000 0.0000  3.71
Cl1 0.4575 0.8166 0.8166  0.22
Cl2 0.5425 0.1834 0.1834  0.22
I1 0.0000 0.7576 0.2424  0.14
I2 0.0000 0.2424 0.7576  0.14

Summary:
Total moment = 4.8 μB per cell
DOS(E_F) = 0.383 states/eV per atom
E_form (uncorrected) = -398 meV/atom

No. 6
The following is a DFT calculation (PBE) of an optimized crystal structure of Tc2SbBr.

Cell: 6.3800 6.3800 6.3800 Å, 152.81 139.21 49.72°
Sites, in units of the cell vectors:
Br1 0.5056 0.5056 0.0000
Tc1 0.7992 0.2992 0.5000
Tc2 0.9798 0.9798 0.0000
Sb1 0.2155 0.7155 0.5000

Summary:
Offset from the most stable computed form = 0.506 eV/atom
Total moment = 0.0 μB per cell
DOS(E_F) = 0.951 states/eV per atom
E_form (uncorrected) = 607 meV/atom

No. 7
The following is a DFT calculation (PBE) of an optimized crystal structure of TbPm3Th.

Cell: 3.4517 8.8549 8.8549 Å, 137.11 90.00 90.00°
Sites, in units of the cell vectors:
Pm1 0.5000 0.1512 0.3742
Pm2 0.5000 0.6258 0.8488
Pm3 0.0000 0.2242 0.7758
Th1 0.0000 0.5742 0.4258
Tb1 0.5000 0.0527 0.9473

Summary:
Offset from the most stable computed form = 0.222 eV/atom
Total moment = 0.0 μB per cell
DOS(E_F) = 1.702 states/eV per atom

No. 8
The following is a DFT calculation (PBE) of an optimized crystal structure of CaH3Ir.

Cell: 5.7611 5.7611 5.7611 Å, 51.41 51.41 51.41°
Sites, in units of the cell vectors:
Ca1 0.8964 0.8964 0.8964
Ca2 0.1036 0.1036 0.1036
Ir1 0.3084 0.3084 0.3084
Ir2 0.6916 0.6916 0.6916
H1 0.0910 0.5718 0.5709
H2 0.5709 0.0910 0.5718
H3 0.5718 0.5709 0.0910
H4 0.9090 0.4282 0.4291
H5 0.4291 0.9090 0.4282
H6 0.4282 0.4291 0.9090

Summary:
Total moment = 0.0 μB per cell
DOS(E_F) = 0.299 states/eV per atom
Uncorrected energy = -4.514 eV per atom

No. 9
The following is a DFT calculation (PBE) of an optimized crystal structure of NdEr2AgHg4.

Cell: 5.0608 5.0608 9.4343 Å, 74.44 74.44 60.00°
Sites, in units of the cell vectors:
Er1 0.7608 0.7608 0.7175
Er2 0.2392 0.2392 0.2825
Hg1 0.6185 0.6185 0.1446
Hg2 0.1253 0.1253 0.6242
Hg3 0.3815 0.3815 0.8554
Hg4 0.8747 0.8747 0.3758
Ag1 0.5000 0.5000 0.5000
Nd1 0.0000 0.0000 0.0000

Summary:
Total moment = 0.0 μB per cell
DOS(E_F) = 0.763 states/eV per atom
Uncorrected energy = -2.615 eV per atom

No. 10
The following is a DFT calculation (PBE) of an optimized crystal structure of Mg4TlPb3.

Cell: 3.5498 7.9660 7.9660 Å, 101.31 90.00 90.00°
Sites, in units of the cell vectors:
Mg1 0.5000 0.2547 0.7453
Mg2 0.5000 0.7453 0.2547
Mg3 0.0000 0.7490 0.7490
Mg4 0.0000 0.2510 0.2510
Tl1 0.5000 0.0000 0.0000
Pb1 0.5000 0.5000 0.5000
Pb2 0.0000 0.5000 0.0000
Pb3 0.0000 0.0000 0.5000

Summary:
Offset from the most stable computed form = 0.128 eV/atom
Total moment = 0.0 μB per cell
DOS(E_F) = 0.602 states/eV per atom

No. 11
The following is a DFT calculation (PBE) of an optimized crystal structure of MgIn3.

Cell: 5.8512 5.8512 5.8512 Å, 134.43 134.43 66.41°
Sites, in units of the cell vectors:
In1 0.0000 0.0000 0.0000
In2 0.5000 0.5000 0.0000
In3 0.7500 0.2500 0.5000
Mg1 0.2500 0.7500 0.5000

Summary:
Total moment = 0.0 μB per cell
DOS(E_F) = 0.375 states/eV per atom
Uncorrected energy = -2.485 eV per atom

No. 12
The following is a DFT calculation (PBE) of an optimized crystal structure of HoCuSnRu.

Cell: 4.6868 4.6868 4.6868 Å, 60.00 60.00 60.00°
Sites, in units of the cell vectors:
Sn1 0.5000 0.5000 0.5000
Cu1 0.2500 0.2500 0.2500
Ru1 0.7500 0.7500 0.7500
Ho1 0.0000 0.0000 0.0000

Summary:
Total moment = 0.0 μB per cell
DOS(E_F) = 0.650 states/eV per atom
Uncorrected energy = -5.766 eV per atom

No. 13
The following is a DFT calculation (PBE) of an optimized crystal structure of Ni2IrOs.

Cell: 3.7098 2.6868 5.7975 Å, 62.45 90.00 90.00°
Sites, in units of the cell vectors:
Ni1 0.0000 0.9891 0.0117
Ni2 0.5000 0.2553 0.2428
Ir1 0.5000 0.7541 0.7469
Os1 0.0000 0.5014 0.4986

Summary:
Offset from the most stable computed form = 0.011 eV/atom
Total moment = 0.0 μB per cell
DOS(E_F) = 1.152 states/eV per atom

No. 14
The following is a DFT calculation (PBE) of an optimized crystal structure of P2PbSI.

Cell: 5.6522 5.6522 5.6011 Å, 90.00 90.00 90.00°
Each line ends with the local moment (μB).
Sites, in units of the cell vectors:
I1 0.0000 0.0000 0.0000  -0.03
Pb1 0.5000 0.5000 0.5000  -0.06
P1 0.0000 0.5000 0.0000  0.34
P2 0.5000 0.0000 0.0000  0.34
S1 0.0000 0.0000 0.5000  0.14

Summary:
Offset from the most stable computed form = 0.071 eV/atom
Total moment = 1.6 μB per cell
DOS(E_F) = 0.676 states/eV per atom
E_form (uncorrected) = 1223 meV/atom

No. 15
The following is a DFT calculation (PBE) of an optimized crystal structure of EuCdAgPt.

Cell: 4.9714 4.9714 4.9714 Å, 60.00 60.00 60.00°
Each line ends with the local moment (μB).
Sites, in units of the cell vectors:
Cd1 0.5000 0.5000 0.5000  0.00
Pt1 0.7500 0.7500 0.7500  -0.04
Eu1 0.0000 0.0000 0.0000  6.72
Ag1 0.2500 0.2500 0.2500  0.01

Summary:
Total moment = 6.9 μB per cell
DOS(E_F) = 2.965 states/eV per atom
Uncorrected energy = -5.438 eV per atom

No. 16
The following is a DFT calculation (PBE) of an optimized crystal structure of ZnCr2Hg.

Cell: 4.5194 4.5194 4.5194 Å, 60.00 60.00 60.00°
Each line ends with the local moment (μB).
Sites, in units of the cell vectors:
Zn1 0.7500 0.7500 0.7500  -0.03
Cr1 0.0000 0.0000 0.0000  -3.31
Cr2 0.2500 0.2500 0.2500  3.31
Hg1 0.5000 0.5000 0.5000  0.03

Summary:
Offset from the most stable computed form = 0.134 eV/atom
Total moment = 0.0 μB per cell
DOS(E_F) = 0.515 states/eV per atom

No. 17
The following is a DFT calculation (PBE) of an optimized crystal structure of Ba2SmInAu6.

Cell: 7.7858 7.7858 7.7859 Å, 60.00 60.00 90.00°
Sites, in units of the cell vectors:
Au1 0.2443 0.2443 0.5115
Au2 0.7557 0.2443 0.0000
Au3 0.2443 0.7557 0.0000
Au4 0.2443 0.2443 0.0000
Au5 0.7557 0.7557 0.4885
Au6 0.7557 0.7557 0.0000
Ba1 0.7500 0.2500 0.5000
Ba2 0.2500 0.7500 0.5000
In1 0.0000 0.0000 0.0000
Sm1 0.5000 0.5000 0.0000

Summary:
Total moment = 0.0 μB per cell
DOS(E_F) = 0.444 states/eV per atom
Uncorrected energy = -3.431 eV per atom

No. 18
The following is a DFT calculation (PBE) of an optimized crystal structure of CdCu7Au12.

Cell: 7.3569 7.3569 7.3569 Å, 106.92 106.92 106.92°
Sites, in units of the cell vectors:
Au1 0.3427 0.6423 0.7735
Au2 0.0220 0.2834 0.3942
Au3 0.6573 0.3577 0.2265
Au4 0.9780 0.7166 0.6058
Au5 0.3577 0.2265 0.6573
Au6 0.6423 0.7735 0.3427
Au7 0.3942 0.0220 0.2834
Au8 0.6058 0.9780 0.7166
Au9 0.2834 0.3942 0.0220
Au10 0.7166 0.6058 0.9780
Au11 0.7735 0.3427 0.6423
Au12 0.2265 0.6573 0.3577
Cu1 0.0223 0.9024 0.3362
Cu2 0.3362 0.0223 0.9024
Cu3 0.9024 0.3362 0.0223
Cu4 0.0976 0.6638 0.9777
Cu5 0.9777 0.0976 0.6638
Cu6 0.5000 0.5000 0.5000
Cu7 0.6638 0.9777 0.0976
Cd1 0.0000 0.0000 0.0000

Summary:
Total moment = 0.0 μB per cell
DOS(E_F) = 0.359 states/eV per atom
Uncorrected energy = -3.444 eV per atom

No. 19
The following is a DFT calculation (PBE) of an optimized crystal structure of Mn3Se.

Cell: 4.2526 2.8117 4.3483 Å, 89.95 90.00 90.00°
Each line ends with the local moment (μB).
Sites, in units of the cell vectors:
Mn1 0.0000 0.4610 0.5150  1.81
Mn2 0.0000 0.0390 0.9850  1.81
Mn3 0.5000 0.7500 0.7500  1.86
Se1 0.5000 0.2500 0.2500  -0.05

Summary:
Offset from the most stable computed form = 0.252 eV/atom
Total moment = 5.5 μB per cell
DOS(E_F) = 1.164 states/eV per atom
E_form (uncorrected) = 354 meV/atom

No. 20
The following is a DFT calculation (PBE) of an optimized crystal structure of Hf2SnGeC.

Cell: 5.3212 4.9266 5.3212 Å, 90.00 90.00 90.00°
Sites, in units of the cell vectors:
Hf1 0.0000 0.0000 0.5000
Hf2 0.5000 0.0000 0.0000
Ge1 0.0000 0.5000 0.0000
C1 0.5000 0.5000 0.5000
Sn1 0.0000 0.0000 0.0000

Summary:
Total moment = 0.0 μB per cell
DOS(E_F) = 1.275 states/eV per atom
Uncorrected energy = -5.144 eV per atom